The following is a DFT calculation (PBE-GGA) of crystalline Nd5Y3Tm2 at its relaxed geometry.

Calculated values
For the distance to the lowest polymorph of the same formula, the calculation gives 0.0 meV/atom. Its space group is C2/c, No. 15. The calculation puts the total energy at -5.163 eV per atom. For the size of the total moment, the calculation gives 0.000 μB/atom. The value obtained for the density of states at the Fermi level is 17.1 states/eV/f.u. For the formation energy, the calculation gives 55 meV per atom.

a b c (Å): 6.7413 10.1557 10.1558
angles (deg): 106.69 87.74 87.74
Closest atoms and distances in Å follow each position.
Positions (direct):
Nd1 0.3735 0.2780 0.9699  2 Y 3.17-3.40, 2 Nd 3.38-3.53
Nd2 0.8735 0.9700 0.2780  2 Y 3.17-3.40, 2 Nd 3.38-3.53
Nd3 0.6265 0.7220 0.0301  2 Y 3.17-3.40, 2 Nd 3.38-3.53
Nd4 0.1265 0.0300 0.7220  2 Y 3.17-3.40, 2 Nd 3.38-3.53
Nd5 0.4953 0.7910 0.7118  4 Y 3.38-3.59, 6 Nd 3.38-3.66
Nd6 0.5047 0.2090 0.2882  4 Y 3.38-3.59, 6 Nd 3.38-3.66
Nd7 0.7500 0.4558 0.5442  4 Y 3.40-3.65, 6 Nd 3.56-3.67, 2 Tm 3.79
Nd8 0.2500 0.5442 0.4558  4 Y 3.40-3.65, 6 Nd 3.56-3.67, 2 Tm 3.79
Nd9 0.0048 0.2882 0.2090  4 Y 3.38-3.60, 6 Nd 3.38-3.66
Nd10 0.9952 0.7118 0.7910  4 Y 3.38-3.60, 6 Nd 3.38-3.66
Y1 0.3674 0.4748 0.7781  3 Nd 3.17-3.40, 1 Y 3.54
Y2 0.8674 0.7781 0.4747  3 Nd 3.17-3.40, 1 Y 3.54
Y3 0.6326 0.5252 0.2219  3 Nd 3.17-3.40, 1 Y 3.54
Y4 0.1326 0.2219 0.5253  3 Nd 3.17-3.40, 1 Y 3.54
Y5 0.2500 0.9582 0.0418  8 Nd 3.40-3.65, 2 Y 3.64
Y6 0.7500 0.0418 0.9582  8 Nd 3.40-3.65, 2 Y 3.64
Tm1 0.1271 0.6248 0.1253  2 Tm 3.55-3.58, 5 Y 3.69-3.83, 7 Nd 3.71-3.87
Tm2 0.6271 0.1253 0.6248  2 Tm 3.55-3.58, 5 Y 3.69-3.83, 7 Nd 3.71-3.87
Tm3 0.8729 0.3752 0.8747  2 Tm 3.55-3.58, 5 Y 3.69-3.83, 7 Nd 3.71-3.87
Tm4 0.3729 0.8747 0.3752  2 Tm 3.55-3.58, 5 Y 3.69-3.83, 7 Nd 3.71-3.87